[1]
Below is a relaxed YAuSe2 crystal, with properties calculated at the PBE level.

Values from the calculation:
Crystal system ... triclinic
Total magnetic moment ... 0.00 μB/f.u.
ΔE_f (raw) ... -1.130 eV per atom

abc: 4.257 4.257 7.375
angles: 73.97 73.83 64.52
Sites, in units of the cell vectors:
Y 0.000 0.000 0.000
Au 0.000 0.000 0.500
Se 0.282 0.283 0.206
Se 0.718 0.717 0.794

[2]
Below is a relaxed YLuMgNi crystal, with properties calculated at the PBE level.

Values from the calculation:
Crystal system ... cubic
Total magnetic moment ... 0.00 μB/f.u.
Formation energy ... -0.1300 eV per atom

abc: 7.075 7.075 7.075
angles: 90.00 90.00 90.00
Sites, in units of the cell vectors:
Y 0.000 0.000 0.000
Y 0.000 0.500 0.500
Y 0.500 0.000 0.500
Y 0.500 0.500 0.000
Lu 0.000 0.000 0.500
Lu 0.000 0.500 0.000
Lu 0.500 0.000 0.000
Lu 0.500 0.500 0.500
Mg 0.250 0.250 0.250
Mg 0.250 0.750 0.750
Mg 0.750 0.250 0.750
Mg 0.750 0.750 0.250
Ni 0.250 0.250 0.750
Ni 0.250 0.750 0.250
Ni 0.750 0.250 0.250
Ni 0.750 0.750 0.750

no.,E_tot (eV/atom)
1,-5.307
2,-4.720